(1)
Density functional theory data (PBEsol) for crystalline HoErIn2 at its relaxed geometry.

Values from the calculation:
DFT formation energy, eV per atom: -0.50

a b c (Å): 5.1894 5.1894 5.1894
angles (deg): 60.00 60.00 60.00
Atoms (fractional coordinates):
In 0.7500 0.7500 0.7500
Ho 0.0000 0.0000 0.0000
Er 0.5000 0.5000 0.5000
In 0.2500 0.2500 0.2500

(2)
Density functional theory data (PBEsol) for crystalline HoErMg2 at its relaxed geometry.

Values from the calculation:
DFT formation energy, eV per atom: -0.05

a b c (Å): 5.2596 5.2596 5.2596
angles (deg): 60.00 60.00 60.00
Atoms (fractional coordinates):
Mg 0.7500 0.7500 0.7500
Er 0.5000 0.5000 0.5000
Ho 0.0000 0.0000 0.0000
Mg 0.2500 0.2500 0.2500

(3)
Density functional theory data (PBEsol) for crystalline HoErO3 at its relaxed geometry.

Values from the calculation:
Formation energy (no corrections), kJ/mol of formula units: -1728.0

a b c (Å): 6.2948 6.2948 12.4673
angles (deg): 90.00 90.00 120.00
Atoms (fractional coordinates):
Ho 0.6667 0.3333 0.2698
Er 0.3331 0.3331 0.5038
O 0.0000 0.6965 0.3298
O 0.3667 0.0000 0.1761
O 0.6667 0.3333 0.4728
Ho 0.3333 0.6667 0.2698
Er 0.3331 0.0000 0.0038
O 0.6333 0.6333 0.1761
Ho 0.3333 0.6667 0.7698
O 0.0000 0.3035 0.8298
O 0.3035 0.0000 0.8298
Er 0.6669 0.0000 0.5038
O 0.0000 0.6333 0.6761
O 0.3333 0.6667 0.9728
O 0.0000 0.0000 0.5402
O 0.6965 0.6965 0.8298
Ho 0.0000 0.0000 0.2343
Ho 0.0000 0.0000 0.7343
O 0.6667 0.3333 0.9728
O 0.6965 0.0000 0.3298
Ho 0.6667 0.3333 0.7698
Er 0.6669 0.6669 0.0038
O 0.0000 0.0000 0.0402
O 0.6333 0.0000 0.6761
O 0.3035 0.3035 0.3298
O 0.0000 0.3667 0.1761
Er 0.0000 0.3331 0.0038
Er 0.0000 0.6669 0.5038
O 0.3667 0.3667 0.6761
O 0.3333 0.6667 0.4728

(4)
Density functional theory data (PBEsol) for crystalline HoErPd2 at its relaxed geometry.

Values from the calculation:
DFT formation energy, eV per atom: -0.90

a b c (Å): 4.8468 4.8468 4.8468
angles (deg): 60.00 60.00 60.00
Atoms (fractional coordinates):
Er 0.5000 0.5000 0.5000
Pd 0.2500 0.2500 0.2500
Ho 0.0000 0.0000 0.0000
Pd 0.7500 0.7500 0.7500

(5)
Density functional theory data (PBEsol) for crystalline HoErZn2 at its relaxed geometry.

Values from the calculation:
DFT formation energy, eV per atom: -0.35

a b c (Å): 4.9217 4.9217 4.9217
angles (deg): 60.00 60.00 60.00
Atoms (fractional coordinates):
Zn 0.7500 0.7500 0.7500
Zn 0.2500 0.2500 0.2500
Ho 0.0000 0.0000 0.0000
Er 0.5000 0.5000 0.5000

(6)
Density functional theory data (PBEsol) for crystalline Er6I7 at its relaxed geometry.

Values from the calculation:
Formation energy (no corrections), kJ/mol of formula units: -1186.5

a b c (Å): 3.9066 11.2102 12.3591
angles (deg): 59.63 80.91 79.97
Atoms (fractional coordinates):
Er 0.2525 0.7451 0.7499
I 0.6380 0.9125 0.8114
I 0.9475 0.2301 0.8749
I 0.3620 0.0875 0.1886
Er 0.8942 0.5217 0.6898
Er 0.7475 0.2549 0.2501
I 0.1771 0.1709 0.4749
I 0.5000 0.5000 0.5000
Er 0.6823 0.5995 0.0360
Er 0.3177 0.4005 0.9640
I 0.8229 0.8291 0.5251
Er 0.1058 0.4783 0.3102
I 0.0525 0.7699 0.1251

(7)
Density functional theory data (PBEsol) for crystalline Er4I5 at its relaxed geometry.

Values from the calculation:
Formation energy (no corrections), kJ/mol of formula units: -838.0

a b c (Å): 3.9089 9.3938 9.4769
angles (deg): 104.40 101.90 90.00
Atoms (fractional coordinates):
Er 0.4068 0.9555 0.8137
I 0.1682 0.2962 0.3365
Er 0.5932 0.0445 0.1863
Er 0.0022 0.2435 0.0044
I 0.5000 0.5000 0.0000
Er 0.9978 0.7565 0.9956
I 0.8357 0.1379 0.6714
I 0.8318 0.7038 0.6635
I 0.1643 0.8621 0.3286

(8)
Density functional theory data (PBEsol) for crystalline Er6IrI10 at its relaxed geometry.

Values from the calculation:
Formation energy (no corrections), kJ/mol of formula units: -2033.0

a b c (Å): 7.4940 9.3881 9.4373
angles (deg): 107.24 96.96 104.76
Atoms (fractional coordinates):
Er 0.1470 0.8730 0.3322
Er 0.5302 0.7136 0.4138
I 0.8583 0.4599 0.7762
I 0.4119 0.6247 0.6826
Er 0.6152 0.0411 0.2575
I 0.1417 0.5401 0.2238
Er 0.3848 0.9589 0.7425
Er 0.4698 0.2864 0.5862
I 0.0477 0.1879 0.4070
I 0.7636 0.0896 0.9671
I 0.9523 0.8121 0.5930
I 0.7199 0.7379 0.1469
I 0.2364 0.9104 0.0329
I 0.5881 0.3753 0.3174
I 0.2801 0.2621 0.8531
Ir 0.5000 0.0000 0.5000
Er 0.8530 0.1270 0.6678

Let's list N(E_F) in order: 2.03, 5.34, 0.00, 2.18, 4.76, 10.30, 4.04, 12.72 states/eV/f.u..
Let's list calculated volume in order: 24.705, 25.720, 14.261, 20.128, 21.075, 35.252, 36.591, 35.245 Å³/atom.